(1)
Entry from Alexandria via LeMat-Bulk: an optimized crystal structure of Sn2TeSe (PBE).

abc: 7.560 7.560 7.560
angles: 90.00 90.00 90.00
Space group Fm-3m (No. 225)
Symmetry-distinct sites (fractional):
Sn1 0.250 0.250 0.250
Te1 0.000 0.000 0.000
Se1 0.000 0.000 0.500

Properties
Final energy (eV for the cell shown): -60.1
E_form (uncorrected) (eV per atom): -0.0978
Energy relative to the lowest polymorph listed for this composition (eV per atom): 0.258



(2)
Entry from Alexandria via LeMat-Bulk: an optimized crystal structure of Sn2TeSe (PBE).

abc: 7.023 7.023 13.786
angles: 90.00 90.00 90.00
Space group I-42d (No. 122)
Symmetry-distinct sites (fractional):
Sn1 0.226 0.250 0.125
Te1 0.000 0.000 0.500
Se1 0.000 0.000 0.000

Properties
Final energy (eV for the cell shown): -60.4
E_form (uncorrected) (eV per atom): -0.1192
Energy relative to the lowest polymorph listed for this composition (eV per atom): 0.236



(3)
Entry from Alexandria via LeMat-Bulk: an optimized crystal structure of SnTeSe (PBE).

abc: 15.345 3.963 6.993
angles: 90.00 116.56 90.00
Space group C2/m (No. 12)
Symmetry-distinct sites (fractional):
Sn1 0.247 0.000 0.239
Te1 0.118 0.000 0.452
Se1 0.134 0.500 0.962

Properties
Final energy (eV for the cell shown): -45.0
E_form (uncorrected) (eV per atom): -0.2065
Energy relative to the lowest polymorph listed for this composition (eV per atom): 0.019



(4)
Entry from Alexandria via LeMat-Bulk: an optimized crystal structure of SnTeSe (PBE).

abc: 16.683 4.111 6.076
angles: 90.00 90.00 90.00
Space group Pnma (No. 62)
Symmetry-distinct sites (fractional):
Sn1 0.189 0.250 0.120
Te1 0.042 0.750 0.124
Se1 0.200 0.250 0.664

Properties
Final energy (eV for the cell shown): -45.2
E_form (uncorrected) (eV per atom): -0.2253
Energy relative to the lowest polymorph listed for this composition (eV per atom): 0.000



(5)
Entry from Alexandria via LeMat-Bulk: an optimized crystal structure of Sn3Te2Se (PBE).

abc: 7.675 13.382 7.706
angles: 90.00 109.58 90.00
Space group C2/c (No. 15)
Symmetry-distinct sites (fractional):
Sn1 0.234 0.079 0.001
Sn2 0.250 0.250 0.500
Te1 0.000 0.257 0.750
Te2 0.000 0.418 0.250
Se1 0.000 0.089 0.250

Properties
Final energy (eV for the cell shown): -94.9
E_form (uncorrected) (eV per atom): -0.3233
Energy relative to the lowest polymorph listed for this composition (eV per atom): 0.008



(6)
Entry from Alexandria via LeMat-Bulk: an optimized crystal structure of Sn2TeSe (PBE).

abc: 4.2875 4.2875 23.9622
angles: 90.00 90.00 120.00
Space group R3m (No. 160, hexagonal axes)
Symmetry-distinct sites (fractional):
Sn1 0.0000 0.0000 0.0000
Sn2 0.0000 0.0000 0.1802
Te1 0.0000 0.0000 0.4057
Se1 0.0000 0.0000 0.5769

Properties
Final energy (eV for the cell shown): -47.5
E_form (uncorrected) (eV per atom): -0.3029
Energy relative to the lowest polymorph listed for this composition (eV per atom): 0.053